Mn2IrO, relaxed, DFT PBE with a Hubbard U; V = 62.00 Å³/f.u.; space group = I-42d, No. 122; electronic total energy = -0.540 Ry per atom
1.0
6.076 0.000 0.000
0.000 6.076 0.000
3.038 3.038 3.359
Ir O Mn
2 2 4
Cartesian
0.000 0.000 0.000 Ir
6.076 3.038 1.679 Ir
3.038 3.038 0.000 O
3.038 6.076 1.679 O
4.101 1.519 0.840 Mn
1.975 4.557 0.840 Mn
4.557 5.013 2.519 Mn
7.595 7.139 2.519 Mn